TlGe2Te2: optimized geometry, GGA-PBE.

Structure (POSCAR):
```
TlGe2Te2
1.0
8.189 0.000 0.000
0.000 8.189 0.000
0.000 0.000 4.051
Tl Ge Te
2 4 4
Cartesian
0.000 0.000 0.000 Tl
4.095 4.095 0.000 Tl
0.993 3.102 0.000 Ge
3.102 7.196 0.000 Ge
5.088 0.993 0.000 Ge
7.196 5.088 0.000 Ge
1.411 5.505 2.025 Te
2.684 1.411 2.025 Te
5.505 6.779 2.025 Te
6.779 2.684 2.025 Te
```

The formation energy from raw total energies is 0.07 eV per atom. The energy comes out at -35.05 eV per cell.



TlGeTe4: optimized geometry, GGA-PBE.

Structure (POSCAR):
```
TlGeTe4
1.0
3.848 -7.692 0.000
3.848 7.692 0.000
-1.783 0.000 7.541
Tl Ge Te
2 2 8
Cartesian
2.511 6.083 5.655 Tl
3.402 -6.083 1.885 Tl
3.402 4.321 1.885 Ge
2.511 -4.321 5.655 Ge
0.173 1.487 6.666 Te
2.265 2.868 3.785 Te
1.065 -1.487 2.896 Te
2.757 2.868 7.526 Te
3.156 -2.868 0.015 Te
4.848 1.487 4.645 Te
3.648 -2.868 3.756 Te
5.740 -1.487 0.874 Te
```

The formation energy from raw total energies is -0.06 eV per atom. The energy comes out at -39.84 eV per cell.



Tl3Ge5Te12: optimized geometry, GGA-PBE.

Structure (POSCAR):
```
Tl3Ge5Te12
1.0
-8.825 8.825 8.825
8.825 -8.825 8.825
8.825 8.825 -8.825
Tl Ge Te
12 20 48
Cartesian
4.412 2.206 0.000 Tl
8.825 4.412 -2.206 Tl
2.206 0.000 4.412 Tl
11.031 0.000 4.412 Tl
0.000 4.412 2.206 Tl
4.412 -2.206 8.825 Tl
4.412 11.031 0.000 Tl
8.825 4.412 6.619 Tl
-2.206 8.825 4.412 Tl
6.619 8.825 4.412 Tl
0.000 4.412 11.031 Tl
4.412 6.619 8.825 Tl
0.000 0.000 0.000 Ge
4.412 4.412 -4.412 Ge
4.412 -4.412 4.412 Ge
8.825 0.000 0.000 Ge
13.237 2.206 0.000 Ge
8.825 -4.412 6.619 Ge
6.619 8.825 -4.412 Ge
6.619 0.000 4.412 Ge
4.412 6.619 0.000 Ge
8.825 4.412 2.206 Ge
-4.412 4.412 4.412 Ge
0.000 8.825 0.000 Ge
0.000 0.000 8.825 Ge
4.412 4.412 4.412 Ge
0.000 4.412 6.619 Ge
4.412 2.206 8.825 Ge
2.206 8.825 4.412 Ge
2.206 0.000 13.237 Ge
0.000 13.237 2.206 Ge
-4.412 6.619 8.825 Ge
2.595 -0.619 1.120 Te
10.642 5.532 -5.031 Te
8.206 -1.120 2.595 Te
13.856 -1.817 3.293 Te
11.420 0.619 1.120 Te
10.642 -3.293 5.031 Te
1.120 2.595 -0.619 Te
12.117 3.794 -1.817 Te
5.532 5.031 -1.817 Te
7.705 2.595 0.619 Te
-0.619 1.120 2.595 Te
5.031 -1.817 5.532 Te
8.206 7.705 -2.595 Te
5.031 1.817 3.293 Te
7.705 -2.595 8.206 Te
5.532 -5.031 10.642 Te
3.293 5.031 1.817 Te
9.944 6.229 0.619 Te
2.595 8.206 -1.120 Te
10.642 3.293 3.794 Te
5.031 10.642 -3.293 Te
8.206 1.120 6.229 Te
1.817 3.293 5.031 Te
2.595 0.619 7.705 Te
6.229 8.206 1.120 Te
7.008 5.532 3.794 Te
0.619 7.705 2.595 Te
3.794 -1.817 12.117 Te
-1.817 5.532 5.031 Te
6.229 0.619 9.944 Te
-1.120 2.595 8.206 Te
5.532 3.794 7.008 Te
3.293 13.856 -1.817 Te
1.120 11.420 0.619 Te
3.794 7.008 5.532 Te
0.619 1.120 11.420 Te
3.794 10.642 3.293 Te
9.444 7.705 6.229 Te
1.120 6.229 8.206 Te
3.293 3.794 10.642 Te
-3.293 5.031 10.642 Te
7.705 6.229 9.444 Te
-1.817 12.117 3.794 Te
-2.595 8.206 7.705 Te
-5.031 10.642 5.532 Te
0.619 9.944 6.229 Te
-1.817 3.293 13.856 Te
6.229 9.444 7.705 Te
```

The formation energy from raw total energies is 0.05 eV per atom. The energy comes out at -267.38 eV per cell.



Look up the energy of the second one. -39.84 eV per cell



Among the records above, which one has the highest formation energy from raw total energies? TlGe2Te2



formation energy from raw total energies of number 2 (TlGeTe4)? -0.06 eV per atom



Which of these has the lowest energy? Tl3Ge5Te12